Version w
NbCuOF2, optimized geometry, DFT PBE; spin magnetization = 1.40 μB per formula unit; space-group type = P4/mmm
1.0
-3.695 1.462 1.567
0.410 -2.584 3.377
1.942 2.835 1.933
Cu O Nb F
1 1 1 2
direct
0.500 0.500 0.500
0.000 0.000 0.500
0.000 0.000 0.000
0.500 0.000 0.000
0.000 0.500 0.000

***

Version x
NbCuOF2, optimized geometry, DFT PBE; spin magnetization = 2.76 μB per formula unit; space-group type = P4/mmm
1.0
3.939 0.000 0.000
0.000 3.939 0.000
0.000 0.000 3.948
Cu O Nb F
1 1 1 2
direct
0.000 0.000 0.000
0.000 0.000 0.500
0.500 0.500 0.500
0.000 0.500 0.000
0.500 0.000 0.000

***

Which structure loses on stability? version x does.

***

Version w
Rb2NdCuF6, optimized geometry, DFT PBE; spin magnetization = 0.07 μB per formula unit; space-group type = Pmmn
1.0
7.059 0.000 0.000
0.000 7.113 0.000
0.000 0.000 8.294
F Nd Cu Rb
12 2 2 4
direct
0.000 0.750 0.771
0.263 0.099 0.000
0.703 0.566 0.000
0.000 0.750 0.229
0.297 0.566 0.000
0.500 0.250 0.729
0.763 0.901 0.500
0.737 0.099 0.000
0.203 0.434 0.500
0.500 0.250 0.271
0.237 0.901 0.500
0.797 0.434 0.500
0.500 0.319 0.000
0.000 0.681 0.500
0.500 0.275 0.500
0.000 0.725 0.000
0.500 0.831 0.237
0.000 0.169 0.263
0.000 0.169 0.737
0.500 0.831 0.763

***

Version x
Rb2NdCuF6, optimized geometry, DFT PBE; spin magnetization = 0.11 μB per formula unit; space-group type = Fm-3m
1.0
0.000 4.547 4.547
4.547 0.000 4.547
4.547 4.547 0.000
Rb F Cu Nd
2 6 1 1
direct
0.250 0.250 0.250
0.750 0.750 0.750
0.250 0.250 0.750
0.250 0.750 0.750
0.750 0.250 0.750
0.250 0.750 0.250
0.750 0.750 0.250
0.750 0.250 0.250
0.000 0.000 0.000
0.500 0.500 0.500

***

Which structure loses on stability? version x does.